<i>
The following is a PBE calculation of crystalline VCrCd2 at its relaxed geometry, from Alexandria via LeMat-Bulk.

Cell lengths 4.695, 4.695, 4.695 Å; angles 60.00, 60.00, 60.00 degrees
Sites, in units of the cell vectors:
1 V 0.000 0.000 0.000
2 Cr 0.500 0.500 0.500
3 Cd 0.250 0.250 0.250
4 Cd 0.750 0.750 0.750

Calculated values
Theoretical density = 7.4 g/cm³
Magnetization = 1.18 μB per formula unit


<ii>
The following is a PBE calculation of crystalline VCrCd2 at its relaxed geometry, from Alexandria via LeMat-Bulk.

Cell lengths 6.060, 6.060, 6.060 Å; angles 102.11, 102.11, 125.48 degrees
Sites, in units of the cell vectors:
1 V 0.000 0.000 0.000
2 V 0.750 0.250 0.500
3 Cr 0.250 0.750 0.500
4 Cr 0.500 0.500 0.000
5 Cd 0.130 0.625 0.005
6 Cd 0.375 0.380 0.505
7 Cd 0.620 0.125 0.995
8 Cd 0.875 0.870 0.495

Calculated values
Theoretical density = 6.8 g/cm³
Magnetization = 1.04 μB per formula unit


Quick one: least stable of them? <ii>